# La2TlSb PBE relaxed
# Total magnetization in μB/cell: 0.0
# DOS(E_F) in states/eV/cell: 3.804
# ΔE_f (raw) in eV/atom: -0.680
data_La2TlSb
_cell_length_a 6.5466
_cell_length_b 6.5466
_cell_length_c 6.5466
_cell_angle_alpha 138.01
_cell_angle_beta 138.01
_cell_angle_gamma 60.89
_symmetry_space_group_name_H-M 'P 1'
_symmetry_Int_Tables_number 1
_symmetry_space_group_name_Hall 'P 1'
loop_
_atom_site_label
_atom_site_fract_x
_atom_site_fract_y
_atom_site_fract_z
_atom_site_occupancy
Sb1 0.5000 0.5000 0.0000 1
La1 0.2500 0.7500 0.5000 1
La2 0.0000 0.0000 0.0000 1
Tl1 0.7500 0.2500 0.5000 1

=====

# La2TlSb PBE relaxed
# Total magnetization in μB/cell: 1.5
# DOS(E_F) in states/eV/cell: 8.734
# ΔE_f (raw) in eV/atom: -0.540
data_La2TlSb
_cell_length_a 8.7349
_cell_length_b 8.7349
_cell_length_c 7.1350
_cell_angle_alpha 52.26
_cell_angle_beta 52.26
_cell_angle_gamma 90.00
_symmetry_space_group_name_H-M 'P 1'
_symmetry_Int_Tables_number 1
_symmetry_space_group_name_Hall 'P 1'
loop_
_atom_site_label
_atom_site_fract_x
_atom_site_fract_y
_atom_site_fract_z
_atom_site_occupancy
Tl1 0.0000 0.0000 0.0000 1
Tl2 0.7500 0.2500 0.5000 1
La1 0.8750 0.8667 0.7500 1
La2 0.3750 0.3833 0.7500 1
La3 0.6167 0.1250 0.2500 1
La4 0.1333 0.6250 0.2500 1
Sb1 0.5000 0.5000 0.0000 1
Sb2 0.2500 0.7500 0.5000 1

=====

# LaTl2Sb PBE relaxed
# Total magnetization in μB/cell: 0.0
# DOS(E_F) in states/eV/cell: 2.113
# ΔE_f (raw) in eV/atom: -0.349
data_LaTl2Sb
_cell_length_a 5.5624
_cell_length_b 5.5624
_cell_length_c 5.5624
_cell_angle_alpha 60.00
_cell_angle_beta 60.00
_cell_angle_gamma 60.00
_symmetry_space_group_name_H-M 'P 1'
_symmetry_Int_Tables_number 1
_symmetry_space_group_name_Hall 'P 1'
loop_
_atom_site_label
_atom_site_fract_x
_atom_site_fract_y
_atom_site_fract_z
_atom_site_occupancy
Tl1 0.2500 0.2500 0.2500 1
Tl2 0.0000 0.0000 0.0000 1
La1 0.5000 0.5000 0.5000 1
Sb1 0.7500 0.7500 0.7500 1

=====

# LaTl2Sb PBE relaxed
# Total magnetization in μB/cell: 0.0
# DOS(E_F) in states/eV/cell: 4.178
# ΔE_f (raw) in eV/atom: -0.312
data_LaTl2Sb
_cell_length_a 8.8448
_cell_length_b 8.8448
_cell_length_c 7.0587
_cell_angle_alpha 51.21
_cell_angle_beta 51.21
_cell_angle_gamma 90.00
_symmetry_space_group_name_H-M 'P 1'
_symmetry_Int_Tables_number 1
_symmetry_space_group_name_Hall 'P 1'
loop_
_atom_site_label
_atom_site_fract_x
_atom_site_fract_y
_atom_site_fract_z
_atom_site_occupancy
La1 0.7500 0.2500 0.5000 1
La2 0.0000 0.0000 0.0000 1
Tl1 0.1480 0.6250 0.2500 1
Tl2 0.8750 0.8520 0.7500 1
Tl3 0.6020 0.1250 0.2500 1
Tl4 0.3750 0.3980 0.7500 1
Sb1 0.5000 0.5000 0.0000 1
Sb2 0.2500 0.7500 0.5000 1

=====

# La8TlSb5 PBE relaxed
# Total magnetization in μB/cell: 0.0
# DOS(E_F) in states/eV/cell: 15.548
# ΔE_f (raw) in eV/atom: -1.009
data_La8TlSb5
_cell_length_a 8.4266
_cell_length_b 8.4266
_cell_length_c 8.4266
_cell_angle_alpha 109.59
_cell_angle_beta 109.23
_cell_angle_gamma 109.59
_symmetry_space_group_name_H-M 'P 1'
_symmetry_Int_Tables_number 1
_symmetry_space_group_name_Hall 'P 1'
loop_
_atom_site_label
_atom_site_fract_x
_atom_site_fract_y
_atom_site_fract_z
_atom_site_occupancy
Sb1 0.3767 0.1274 0.9984 1
Sb2 0.7508 0.6217 0.6233 1
Sb3 0.5000 0.0000 0.5000 1
Sb4 0.8710 0.8726 0.2492 1
Sb5 0.0016 0.3783 0.1290 1
La1 0.9795 0.1066 0.7374 1
La2 0.6295 0.3931 0.8752 1
La3 0.6309 0.8934 0.8729 1
La4 0.4821 0.6069 0.2364 1
La5 0.1248 0.7542 0.5179 1
La6 0.2626 0.2420 0.3691 1
La7 0.1271 0.7580 0.0205 1
La8 0.7636 0.2458 0.3705 1
Tl1 0.2500 0.5000 0.7500 1

=====

# La2TlSb PBE relaxed
# Total magnetization in μB/cell: 0.0
# DOS(E_F) in states/eV/cell: 2.467
# ΔE_f (raw) in eV/atom: -0.749
data_La2TlSb
_cell_length_a 4.4358
_cell_length_b 4.4358
_cell_length_c 8.7124
_cell_angle_alpha 75.29
_cell_angle_beta 75.29
_cell_angle_gamma 59.93
_symmetry_space_group_name_H-M 'P 1'
_symmetry_Int_Tables_number 1
_symmetry_space_group_name_Hall 'P 1'
loop_
_atom_site_label
_atom_site_fract_x
_atom_site_fract_y
_atom_site_fract_z
_atom_site_occupancy
Sb1 0.7500 0.7500 0.7500 1
La1 0.0068 0.0068 0.9802 1
La2 0.4932 0.4932 0.5198 1
Tl1 0.2500 0.2500 0.2500 1

=====

- Which of these has the lowest ΔE_f (raw)?
  La8TlSb5